VASP calculation (PBE+U) on an optimized crystal structure of MnTe2IF.

Cell lengths 4.667, 4.667, 6.681 Å; angles 90.00, 90.00, 90.00 degrees
Each line ends with the local moment (μB).
Sites, in units of the cell vectors:
I 0.000 0.000 0.500  0.00
Te 0.000 0.500 0.000  -0.01
Te 0.500 0.000 0.000  -0.01
Mn 0.500 0.500 0.500  4.79
F 0.000 0.000 0.000  0.00

Summary:
Volume ... 146 Å³ per cell
Energy above the most stable polymorph in this dataset ... 0.000 eV per atom